The following is a DFT calculation (GGA+U) of Li3V4P9O32 after structural relaxation.

Values from the calculation:
- raw total energy (eV per atom) = -7.237
- space-group type = P-42_1c, No. 114

Cell lengths 14.5684, 14.5684, 6.2666 Å; angles 90.00, 90.00, 90.00 degrees
Closest atoms and distances in Å follow each position.
Positions (direct):
Li1 0.0000 0.0000 0.0000  4 O 2.45
Li2 0.0000 0.5000 0.1792  4 O 2.11-2.14
Li3 0.0000 0.5000 0.6792  4 O 2.11-2.14
Li4 0.5000 0.0000 0.3208  4 O 2.11-2.14
Li5 0.5000 0.0000 0.8208  4 O 2.11-2.14
Li6 0.5000 0.5000 0.5000  4 O 2.45
V1 0.1486 0.8438 0.6423  6 O 1.89-1.96
V2 0.1562 0.1486 0.3577  6 O 1.89-1.96
V3 0.3438 0.6486 0.1423  6 O 1.89-1.96
V4 0.3514 0.3438 0.8577  6 O 1.89-1.96
V5 0.6486 0.6562 0.8577  6 O 1.89-1.96
V6 0.6562 0.3514 0.1423  6 O 1.89-1.96
V7 0.8438 0.8514 0.3577  6 O 1.89-1.96
V8 0.8514 0.1562 0.6423  6 O 1.89-1.96
P1 0.0000 0.0000 0.5000  4 O 1.55
P2 0.0138 0.6990 0.4020  4 O 1.50-1.62
P3 0.1571 0.7891 0.1520  4 O 1.51-1.62
P4 0.1990 0.5138 0.9020  4 O 1.50-1.62
P5 0.2109 0.1571 0.8480  4 O 1.51-1.62
P6 0.2891 0.6571 0.6520  4 O 1.51-1.62
P7 0.3010 0.0138 0.5980  4 O 1.50-1.62
P8 0.3429 0.2891 0.3480  4 O 1.51-1.62
P9 0.4862 0.1990 0.0980  4 O 1.50-1.62
P10 0.5000 0.5000 0.0000  4 O 1.55
P11 0.5138 0.8010 0.0980  4 O 1.50-1.62
P12 0.6571 0.7109 0.3480  4 O 1.51-1.62
P13 0.6990 0.9862 0.5980  4 O 1.50-1.62
P14 0.7109 0.3429 0.6520  4 O 1.51-1.62
P15 0.7891 0.8429 0.8480  4 O 1.51-1.62
P16 0.8010 0.4862 0.9020  4 O 1.50-1.62
P17 0.8429 0.2109 0.1520  4 O 1.51-1.62
P18 0.9862 0.3010 0.4020  4 O 1.50-1.62
O1 0.0040 0.4016 0.4326  1 P 1.50
O2 0.0555 0.9402 0.6589  1 P 1.55
O3 0.0585 0.7482 0.5951  1 P 1.55
O4 0.0598 0.0555 0.3411  1 P 1.55
O5 0.0705 0.2450 0.3261  1 P 1.55
O6 0.0858 0.7071 0.2050  2 P 1.62
O7 0.0984 0.4960 0.9326  1 P 1.50
O8 0.1238 0.8360 0.9485  1 P 1.53
O9 0.1405 0.1504 0.6669  1 P 1.53
O10 0.1504 0.8595 0.3331  1 P 1.53
O11 0.1640 0.1238 0.0515  1 P 1.53
O12 0.2071 0.5858 0.7050  2 P 1.62
O13 0.2450 0.7502 0.6279  1 P 1.51
O14 0.2450 0.9295 0.6739  1 P 1.55
O15 0.2482 0.5585 0.0951  1 P 1.55
O16 0.2498 0.2450 0.3721  1 P 1.51
O17 0.2502 0.7450 0.1279  1 P 1.51
O18 0.2518 0.0585 0.4049  1 P 1.55
O19 0.2550 0.2502 0.8721  1 P 1.51
O20 0.2550 0.4295 0.8261  1 P 1.55
O21 0.2929 0.0858 0.7950  2 P 1.62
O22 0.3360 0.6238 0.4485  1 P 1.53
O23 0.3496 0.3595 0.1669  1 P 1.53
O24 0.3595 0.6504 0.8331  1 P 1.53
O25 0.3762 0.3360 0.5515  1 P 1.53
O26 0.4016 0.9960 0.5674  1 P 1.50
O27 0.4142 0.2071 0.2950  2 P 1.62
O28 0.4295 0.7450 0.1739  1 P 1.55
O29 0.4402 0.5555 0.1589  1 P 1.55
O30 0.4415 0.2482 0.9049  1 P 1.55
O31 0.4445 0.4402 0.8411  1 P 1.55
O32 0.4960 0.9016 0.0674  1 P 1.50
O33 0.5040 0.0984 0.0674  1 P 1.50
O34 0.5555 0.5598 0.8411  1 P 1.55
O35 0.5585 0.7518 0.9049  1 P 1.55
O36 0.5598 0.4445 0.1589  1 P 1.55
O37 0.5705 0.2550 0.1739  1 P 1.55
O38 0.5858 0.7929 0.2950  2 P 1.62
O39 0.5984 0.0040 0.5674  1 P 1.50
O40 0.6238 0.6640 0.5515  1 P 1.53
O41 0.6405 0.3496 0.8331  1 P 1.53
O42 0.6504 0.6405 0.1669  1 P 1.53
O43 0.6640 0.3762 0.4485  1 P 1.53
O44 0.7071 0.9142 0.7950  2 P 1.62
O45 0.7450 0.5705 0.8261  1 P 1.55
O46 0.7450 0.7498 0.8721  1 P 1.51
O47 0.7482 0.9415 0.4049  1 P 1.55
O48 0.7498 0.2550 0.1279  1 P 1.51
O49 0.7502 0.7550 0.3721  1 P 1.51
O50 0.7518 0.4415 0.0951  1 P 1.55
O51 0.7550 0.0705 0.6739  1 P 1.55
O52 0.7550 0.2498 0.6279  1 P 1.51
O53 0.7929 0.4142 0.7050  2 P 1.62
O54 0.8360 0.8762 0.0515  1 P 1.53
O55 0.8496 0.1405 0.3331  1 P 1.53
O56 0.8595 0.8496 0.6669  1 P 1.53
O57 0.8762 0.1640 0.9485  1 P 1.53
O58 0.9016 0.5040 0.9326  1 P 1.50
O59 0.9142 0.2929 0.2050  2 P 1.62
O60 0.9295 0.7550 0.3261  1 P 1.55
O61 0.9402 0.9445 0.3411  1 P 1.55
O62 0.9415 0.2518 0.5951  1 P 1.55
O63 0.9445 0.0598 0.6589  1 P 1.55
O64 0.9960 0.5984 0.4326  1 P 1.50